i.
Crystalline Tb6Dy4Er at its relaxed geometry. Source: the Alexandria database, functional PBE.

Lattice parameters (Å, degrees): 5.7159 9.5665 25.4513 90.00 90.00 90.00
With the nearest neighbours (Å) after each atom.
Space group Cmcm (No. 63)
Unique sites:
Tb: 0.0000 0.0000 0.0000 x4  6 Dy 3.12-3.39
Tb: 0.0000 0.0367 0.2500 x4  3 Er 3.21-3.26, 2 Dy 3.26
Tb: 0.0000 0.3011 0.6047 x8  5 Dy 3.27-3.56
Tb: 0.0000 0.3691 0.1822 x8  7 Tb 3.45-3.83, 4 Dy 3.51-3.63, 3 Er 3.61-3.70
Dy: 0.0000 0.0398 0.1218 x8  5 Tb 3.12-3.29
Dy: 0.0000 0.3482 0.0433 x8  8 Tb 3.39-3.80, 2 Dy 3.56-3.65
Er: 0.0000 0.2989 0.7500 x4  3 Tb 3.21-3.26

Properties
N(E_F): 1.8239 states/eV per atom
Magnetic moment: 0.00 μB/f.u.

ii.
Crystalline Tb6Dy4Er at its relaxed geometry. Source: the Alexandria database, functional PBE.

Lattice parameters (Å, degrees): 7.4601 7.4601 13.3253 90.00 90.00 90.00
With the nearest neighbours (Å) after each atom.
Space group I-42m (No. 121)
Unique sites:
Tb: 0.0000 0.5000 0.0000 x4  4 Dy 2.97
Tb: 0.2309 0.2309 0.1863 x8  1 Dy 3.20, 1 Er 3.48
Dy: 0.1665 0.1665 0.4206 x8  3 Tb 2.97-3.20, 2 Dy 3.26
Er: 0.0000 0.0000 0.0000 x2  8 Tb 3.48-3.73, 4 Dy 3.67

Properties
N(E_F): 1.1545 states/eV per atom
Magnetic moment: 0.00 μB/f.u.

Most stable to least stable, the ends of the list are i and ii.

i.
Crystalline Tb5Dy5Er at its relaxed geometry. Source: the Alexandria database, functional PBE.

Lattice parameters (Å, degrees): 6.8142 6.8152 8.5655 75.11 75.11 69.98
With the nearest neighbours (Å) after each atom.
Space group P-1 (No. 2)
Unique sites:
Tb: 0.0000 0.0000 0.0000 x1  6 Dy 3.41-3.57, 4 Tb 3.54-3.61
Tb: 0.2254 0.1492 0.2731 x2  6 Dy 3.16-3.52, 1 Tb 3.30
Tb: 0.3511 0.2728 0.7284 x2  6 Dy 3.16-3.51, 1 Tb 3.30
Dy: 0.0000 0.5000 0.0000 x1  6 Tb 3.16-3.41, 2 Er 3.41
Dy: 0.1472 0.6452 0.3636 x2  2 Dy 3.37-3.43, 7 Tb 3.49-3.72, 1 Er 3.55
Dy: 0.3184 0.8141 0.6350 x2  7 Tb 3.40-3.57, 1 Dy 3.43, 1 Er 3.55
Er: 0.5000 0.5000 0.0000 x1  6 Dy 3.41-3.55, 4 Tb 3.55-3.60

Properties
N(E_F): 1.4478 states/eV per atom
Magnetic moment: 0.00 μB/f.u.

ii.
Crystalline Tb5Dy5Er at its relaxed geometry. Source: the Alexandria database, functional PBE.

Lattice parameters (Å, degrees): 6.0467 6.0467 11.4409 90.00 90.00 120.00
With the nearest neighbours (Å) after each atom.
Space group P-6m2 (No. 187)
Unique sites:
Tb: 0.0000 0.0000 0.2361 x2  1 Dy 3.02, 3 Tb 3.23
Tb: 0.3371 0.1685 0.0000 x3  6 Tb 2.99-3.23
Dy: 0.0000 0.0000 0.5000 x1  2 Tb 3.02
Dy: 0.3333 0.6667 0.1821 x2  9 Tb 3.55-3.67, 1 Er 3.64, 3 Dy 3.95
Dy: 0.6667 0.3333 0.3432 x2  7 Dy 3.59-3.95, 3 Tb 3.70, 3 Er 3.93
Er: 0.3333 0.6667 0.5000 x1  5 Dy 3.49-3.64

Properties
N(E_F): 1.7379 states/eV per atom
Magnetic moment: 0.00 μB/f.u.

Most stable to least stable, the ends of the list are i and ii.

i.
Crystalline TbDy4Er at its relaxed geometry. Source: the Alexandria database, functional PBE.

Lattice parameters (Å, degrees): 3.5337 6.1095 9.3331 77.45 79.16 73.22
With the nearest neighbours (Å) after each atom.
Space group P-1 (No. 2)
Unique sites:
Tb: 0.0000 0.0000 0.0000 x1  10 Dy 3.53-3.54, 2 Tb 3.53
Dy: 0.3333 0.9994 0.3341 x2  7 Dy 3.52-3.53, 3 Er 3.53, 2 Tb 3.53-3.54
Dy: 0.3337 0.5004 0.8325 x2  2 Er 3.52-3.53, 7 Dy 3.53-3.54, 3 Tb 3.53
Er: 0.0000 0.5000 0.5000 x1  10 Dy 3.52-3.53, 2 Er 3.53

Properties
N(E_F): 1.2598 states/eV per atom
Magnetic moment: 0.00 μB/f.u.

ii.
Crystalline TbDy4Er at its relaxed geometry. Source: the Alexandria database, functional PBE.

Lattice parameters (Å, degrees): 8.7475 14.7042 6.4050 90.00 111.54 90.00
With the nearest neighbours (Å) after each atom.
Space group C2/c (No. 15)
Unique sites:
Tb: 0.0000 0.0856 0.2500 x4  10 Dy 3.49-3.81
Dy: 0.0916 0.3026 0.5401 x8  6 Dy 3.30-3.64, 2 Er 3.34-3.46, 1 Tb 3.63
Dy: 0.2023 0.1256 0.8804 x8  4 Dy 3.30-3.64, 2 Er 3.38-3.51, 2 Tb 3.49-3.52
Er: 0.0000 0.4968 0.2500 x4  2 Er 3.20, 8 Dy 3.34-3.51

Properties
N(E_F): 1.6118 states/eV per atom
Magnetic moment: 0.00 μB/f.u.

iii.
Crystalline TbDy4Er at its relaxed geometry. Source: the Alexandria database, functional PBE.

Lattice parameters (Å, degrees): 9.2291 9.2291 9.2291 90.00 90.00 90.00
With the nearest neighbours (Å) after each atom.
Space group F-43m (No. 216)
Unique sites:
Tb: 0.0000 0.0000 0.0000 x4  12 Dy 3.83, 4 Er 4.00
Dy: 0.1249 0.1249 0.3751 x16  6 Dy 3.26
Er: 0.2500 0.2500 0.7500 x4  12 Dy 3.83, 4 Tb 4.00

Properties
N(E_F): 1.6471 states/eV per atom
Magnetic moment: 0.11 μB/f.u.

Most stable to least stable, the ends of the list are i and iii.